The following is a DFT calculation (PBE) of Ce2PmHo8 after structural relaxation.

a b c (Å): 5.491 10.005 10.005
angles (deg): 40.89 92.51 92.51
Each line ends with the local moment (μB).
Element x y z (fractional)
Ce 0.744 0.286 0.286  0.56
Ce 0.256 0.714 0.714  0.56
Pm 0.000 0.000 0.000  -0.01
Ho 0.265 0.135 0.601  0.02
Ho 0.265 0.601 0.135  0.02
Ho 0.735 0.865 0.399  0.02
Ho 0.239 0.547 0.547  0.02
Ho 0.735 0.399 0.865  0.02
Ho 0.234 0.187 0.187  0.06
Ho 0.766 0.813 0.813  0.06
Ho 0.761 0.453 0.453  0.02

Summary:
Calculated density   8060 kg/m3


The following is a DFT calculation (PBE) of CePm4Ho8 after structural relaxation.

a b c (Å): 7.775 7.775 7.775
angles (deg): 90.12 90.12 90.12
Each line ends with the local moment (μB).
Element x y z (fractional)
Ce 0.500 0.500 0.500  -0.63
Pm 0.500 0.000 0.500  -0.17
Pm 0.000 0.500 0.500  -0.17
Pm 0.500 0.500 0.000  -0.17
Pm 0.000 0.000 0.000  0.11
Ho 0.241 0.758 0.241  -0.09
Ho 0.759 0.759 0.242  -0.09
Ho 0.759 0.242 0.759  -0.09
Ho 0.242 0.759 0.759  -0.09
Ho 0.759 0.759 0.759  -0.09
Ho 0.241 0.241 0.241  -0.09
Ho 0.758 0.241 0.241  -0.09
Ho 0.241 0.241 0.758  -0.09

Summary:
Calculated density   7206 kg/m3


The following is a DFT calculation (PBE) of CePmHo after structural relaxation.

a b c (Å): 4.071 4.071 12.897
angles (deg): 109.95 109.95 89.33
Each line ends with the local moment (μB).
Element x y z (fractional)
Ce 0.269 0.269 0.553  0.28
Ce 0.731 0.731 0.447  0.28
Pm 0.978 0.978 0.743  0.02
Pm 0.022 0.022 0.257  0.02
Ho 0.664 0.664 0.919  0.00
Ho 0.336 0.336 0.081  0.00

Summary:
Calculated density   7972 kg/m3


The following is a DFT calculation (PBE) of CePm2Ho3 after structural relaxation.

a b c (Å): 5.742 8.700 9.333
angles (deg): 63.85 72.09 70.73
Each line ends with the local moment (μB).
Element x y z (fractional)
Ce 0.354 0.635 0.656  0.78
Ce 0.646 0.365 0.344  0.78
Pm 0.945 0.421 0.688  0.10
Pm 0.055 0.579 0.312  0.10
Pm 0.547 0.127 0.780  0.03
Pm 0.453 0.873 0.220  0.03
Ho 0.114 0.850 0.922  0.02
Ho 0.886 0.150 0.078  0.02
Ho 0.713 0.636 0.937  0.05
Ho 0.287 0.364 0.063  0.05
Ho 0.806 0.887 0.501  0.02
Ho 0.194 0.113 0.499  0.02

Summary:
Calculated density   7921 kg/m3


The following is a DFT calculation (PBE) of CePm3Ho5 after structural relaxation.

a b c (Å): 8.654 8.654 9.869
angles (deg): 116.01 116.01 90.00
Each line ends with the local moment (μB).
Element x y z (fractional)
Ce 0.750 0.250 0.500  0.75
Ce 0.250 0.750 0.500  0.75
Pm 0.619 0.119 0.000  -0.02
Pm 0.381 0.881 0.000  -0.02
Pm 0.881 0.619 0.000  -0.02
Pm 0.119 0.381 0.000  -0.02
Pm 0.250 0.250 0.500  0.00
Pm 0.750 0.750 0.500  0.00
Ho 0.065 0.565 0.723  0.05
Ho 0.658 0.158 0.723  0.05
Ho 0.158 0.065 0.723  0.05
Ho 0.565 0.658 0.723  0.05
Ho 0.935 0.435 0.277  0.05
Ho 0.342 0.842 0.277  0.05
Ho 0.842 0.935 0.277  0.05
Ho 0.435 0.342 0.277  0.05
Ho 0.500 0.500 0.000  -0.03
Ho 0.000 0.000 0.000  -0.03

Summary:
Calculated density   8017 kg/m3


The following is a DFT calculation (PBE) of CePmHo6 after structural relaxation.

a b c (Å): 6.562 6.481 7.442
angles (deg): 115.64 65.03 89.89
Each line ends with the local moment (μB).
Element x y z (fractional)
Ce 0.000 0.500 0.000  0.79
Pm 0.000 0.000 0.000  0.05
Ho 0.087 0.731 0.463  0.07
Ho 0.560 0.760 0.520  0.05
Ho 0.440 0.240 0.480  0.05
Ho 0.913 0.269 0.537  0.07
Ho 0.500 0.749 0.000  0.05
Ho 0.500 0.251 0.000  0.05

Summary:
Calculated density   8400 kg/m3


The following is a DFT calculation (PBE) of CePmHo4 after structural relaxation.

a b c (Å): 6.573 6.573 10.373
angles (deg): 90.00 90.00 120.38
Each line ends with the local moment (μB).
Element x y z (fractional)
Ce 0.000 0.000 0.000  0.79
Ce 0.000 0.000 0.500  0.79
Pm 0.170 0.830 0.750  0.07
Pm 0.830 0.170 0.250  0.07
Ho 0.661 0.339 0.932  0.08
Ho 0.339 0.661 0.432  0.08
Ho 0.339 0.661 0.068  0.08
Ho 0.661 0.339 0.568  0.08
Ho 0.347 0.166 0.250  0.11
Ho 0.653 0.834 0.750  0.11
Ho 0.166 0.347 0.750  0.11
Ho 0.834 0.653 0.250  0.11

Summary:
Calculated density   8117 kg/m3


The following is a DFT calculation (PBE) of CePm12Ho7 after structural relaxation.

a b c (Å): 11.487 11.487 11.487
angles (deg): 116.89 116.89 116.89
Element x y z (fractional)
Ce 0.000 0.000 0.000
Pm 0.088 0.500 0.913
Pm 0.500 0.087 0.912
Pm 0.425 0.069 0.424
Pm 0.931 0.576 0.575
Pm 0.087 0.912 0.500
Pm 0.576 0.575 0.931
Pm 0.424 0.425 0.069
Pm 0.913 0.088 0.500
Pm 0.069 0.424 0.425
Pm 0.575 0.931 0.576
Pm 0.500 0.913 0.088
Pm 0.912 0.500 0.087
Ho 0.880 0.638 0.879
Ho 0.362 0.121 0.120
Ho 0.121 0.120 0.362
Ho 0.500 0.500 0.500
Ho 0.879 0.880 0.638
Ho 0.638 0.879 0.880
Ho 0.120 0.362 0.121

Summary:
Calculated density   7410 kg/m3


The following is a DFT calculation (PBE) of CePmHo14 after structural relaxation.

a b c (Å): 7.094 7.094 11.434
angles (deg): 90.00 90.00 119.89
Each line ends with the local moment (μB).
Element x y z (fractional)
Ce 0.208 0.792 0.500  0.70
Pm 0.708 0.292 0.500  0.01
Ho 0.041 0.959 0.000  -0.02
Ho 0.542 0.458 0.000  -0.06
Ho 0.209 0.292 0.500  0.02
Ho 0.041 0.457 0.000  -0.02
Ho 0.708 0.791 0.500  0.02
Ho 0.543 0.959 0.000  -0.02
Ho 0.373 0.122 0.752  0.01
Ho 0.373 0.122 0.248  0.01
Ho 0.878 0.627 0.752  0.01
Ho 0.878 0.627 0.248  0.01
Ho 0.374 0.626 0.751  0.01
Ho 0.374 0.626 0.249  0.01
Ho 0.875 0.125 0.752  -0.01
Ho 0.875 0.125 0.248  -0.01

Summary:
Calculated density   8635 kg/m3


The following is a DFT calculation (PBE) of CePmHo after structural relaxation.

a b c (Å): 3.535 3.535 8.705
angles (deg): 90.00 90.00 120.00
Each line ends with the local moment (μB).
Element x y z (fractional)
Ho 0.333 0.667 0.660  0.00
Ce 0.667 0.333 0.336  0.48
Pm 0.000 0.000 0.004  -0.01

Summary:
Calculated density   7933 kg/m3


The following is a DFT calculation (PBE) of CePm4Ho10 after structural relaxation.

a b c (Å): 7.968 8.850 8.850
angles (deg): 78.31 63.25 63.25
Element x y z (fractional)
Ce 0.000 0.000 0.000
Pm 0.226 0.000 0.547
Pm 0.774 0.453 0.000
Pm 0.226 0.547 0.000
Pm 0.774 0.000 0.453
Ho 0.250 0.500 0.500
Ho 0.706 0.206 0.793
Ho 0.088 0.207 0.206
Ho 0.500 0.793 0.794
Ho 0.706 0.794 0.207
Ho 0.294 0.794 0.207
Ho 0.750 0.500 0.500
Ho 0.294 0.206 0.793
Ho 0.500 0.207 0.206
Ho 0.912 0.793 0.794

Summary:
Calculated density   7907 kg/m3


Number 1: total DFT energy (no corrections) -4.64 eV per atom, ΔE_f 199 meV/atom. Number 2: total DFT energy (no corrections) -4.21 eV per atom, ΔE_f 524 meV/atom. Number 3: total DFT energy (no corrections) -4.94 eV per atom, ΔE_f 147 meV/atom. Number 4: total DFT energy (no corrections) -4.71 eV per atom, ΔE_f 149 meV/atom. Number 5: total DFT energy (no corrections) -4.52 eV per atom, ΔE_f 268 meV/atom. Number 6: total DFT energy (no corrections) -4.55 eV per atom, ΔE_f 217 meV/atom. Number 7: total DFT energy (no corrections) -4.58 eV per atom, ΔE_f 248 meV/atom. Number 8: total DFT energy (no corrections) -4.50 eV per atom, ΔE_f 252 meV/atom. Number 9: total DFT energy (no corrections) -4.65 eV per atom, ΔE_f 23 meV/atom. Number 10: total DFT energy (no corrections) -5.02 eV per atom, ΔE_f 72 meV/atom. Number 11: total DFT energy (no corrections) -4.45 eV per atom, ΔE_f 260 meV/atom.